No. 1
Below is a relaxed structure of PaSnOs, with properties calculated at the PBE level.

```
PaSnOs
1.0
0.000 5.313 7.999
3.746 0.000 7.999
3.746 5.313 0.000
Pa Sn Os
4 4 4
Cartesian
4.871 3.985 5.999
6.744 6.641 9.999
0.748 3.985 5.999
2.621 6.641 9.999
2.810 1.573 5.999
4.683 4.229 9.999
2.810 6.397 5.999
4.683 9.053 9.999
0.000 0.000 0.000
1.873 2.656 0.000
1.873 0.000 3.999
0.000 2.656 3.999
```

Results
raw total energy = -8.086 eV per atom
space-group type = No. 70
V = 26.5 Å³ per atom
energy of formation = 0.157 eV per atom

=====

No. 2
Below is a relaxed structure of Pa7Sn2Os2, with properties calculated at the PBE level.

```
Pa7Sn2Os2
1.0
4.238 -5.300 0.000
4.238 5.300 0.000
0.000 0.000 6.438
Pa Sn Os
7 2 2
Cartesian
0.000 0.000 0.000
2.119 2.650 1.805
2.119 2.650 4.633
2.119 -2.650 1.805
2.119 -2.650 4.633
4.238 0.000 1.766
4.238 0.000 4.672
1.387 0.000 3.219
7.089 0.000 3.219
4.238 2.396 0.000
4.238 -2.396 0.000
```

Results
raw total energy = -8.762 eV per atom
space-group type = No. 65
V = 26.3 Å³ per atom
energy of formation = 0.051 eV per atom

=====

No. 3
Below is a relaxed structure of Pa2SnOs, with properties calculated at the PBE level.

```
Pa2SnOs
1.0
5.322 0.000 0.000
0.000 5.322 0.000
0.000 0.000 3.224
Pa Sn Os
2 1 1
Cartesian
0.000 2.661 0.000
2.661 0.000 0.000
0.000 0.000 1.612
2.661 2.661 1.612
```

Results
raw total energy = -8.477 eV per atom
space-group type = No. 123
V = 22.8 Å³ per atom
energy of formation = 0.079 eV per atom

=====

No. 4
Below is a relaxed structure of PaSnOs, with properties calculated at the PBE level.

```
PaSnOs
1.0
3.762 0.000 0.000
0.000 3.762 0.000
0.000 0.000 10.013
Pa Sn Os
2 2 2
Cartesian
0.000 0.000 0.000
1.881 1.881 5.007
0.000 0.000 6.978
1.881 1.881 1.971
0.000 0.000 4.179
1.881 1.881 9.186
```

Results
raw total energy = -8.219 eV per atom
space-group type = No. 107
V = 23.6 Å³ per atom
energy of formation = 0.024 eV per atom

=====

No. 5
Below is a relaxed structure of PaSnOs, with properties calculated at the PBE level.

```
PaSnOs
1.0
12.953 0.000 0.000
0.000 3.938 0.000
0.000 0.000 7.677
Pa Sn Os
6 6 6
Cartesian
0.592 0.000 1.684
3.238 0.000 6.385
5.884 0.000 1.684
7.069 0.000 5.994
9.715 0.000 1.293
12.360 0.000 5.994
1.557 1.969 4.220
3.238 1.969 1.327
4.919 1.969 4.220
8.034 1.969 3.458
9.715 1.969 6.350
11.395 1.969 3.458
1.274 1.969 6.961
3.238 0.000 3.222
5.203 1.969 6.961
7.750 1.969 0.716
9.715 0.000 4.455
11.679 1.969 0.716
```

Results
raw total energy = -8.584 eV per atom
space-group type = No. 51
V = 21.8 Å³ per atom
energy of formation = -0.341 eV per atom

=====

No. 6
Below is a relaxed structure of PaTcSnOs, with properties calculated at the PBE level.

```
PaTcSnOs
1.0
6.730 0.000 0.000
0.000 6.730 0.000
0.000 0.000 6.730
Pa Tc Sn Os
4 4 4 4
Cartesian
0.000 0.000 0.000
0.000 3.365 3.365
3.365 0.000 3.365
3.365 3.365 0.000
1.683 1.683 1.683
1.683 5.048 5.048
5.048 1.683 5.048
5.048 5.048 1.683
0.000 0.000 3.365
0.000 3.365 0.000
3.365 0.000 0.000
3.365 3.365 3.365
1.683 1.683 5.048
1.683 5.048 1.683
5.048 1.683 1.683
5.048 5.048 5.048
```

Results
raw total energy = -8.913 eV per atom
space-group type = No. 216
V = 19.1 Å³ per atom
energy of formation = -0.139 eV per atom

=====

No. 7
Below is a relaxed structure of PaTaOs2, with properties calculated at the PBE level.

```
PaTaOs2
1.0
4.337 0.000 0.000
-2.168 3.756 0.000
0.000 0.000 14.356
Pa Ta Os
3 3 6
Cartesian
0.000 0.000 0.000
0.000 2.504 9.570
2.168 1.252 4.785
0.000 0.000 7.178
0.000 2.504 2.393
2.168 1.252 11.963
0.000 0.000 3.232
0.000 0.000 11.124
0.000 2.504 6.338
0.000 2.504 12.802
2.168 1.252 1.553
2.168 1.252 8.017
```

Results
raw total energy = -11.068 eV per atom
space-group type = No. 166
V = 19.5 Å³ per atom
energy of formation = -0.116 eV per atom

=====

No. 8
Below is a relaxed structure of PaTa2Os, with properties calculated at the PBE level.

```
PaTa2Os
1.0
3.097 0.000 0.000
0.000 3.097 0.000
0.000 0.000 8.045
Pa Ta Os
1 2 1
Cartesian
0.000 0.000 0.000
1.549 1.549 2.356
1.549 1.549 5.689
0.000 0.000 4.022
```

Results
raw total energy = -11.158 eV per atom
space-group type = No. 123
V = 19.3 Å³ per atom
energy of formation = -0.051 eV per atom